Record 1
Eu2Cu6P5 | Alexandria | PBE | relaxed; total magnetization = 13.59 μB/f.u.; calculated formation energy = -0.51 eV/atom; density = 6.90 Mg/m³
1.0
-10.384 -6.006 4.356
-6.357 -10.033 4.669
9.000 8.855 -1.860
Eu Cu P
2 6 5
direct
0.649 0.649 0.000
0.351 0.351 0.000
0.448 0.948 0.500
0.750 0.250 0.500
0.552 0.052 0.500
0.250 0.750 0.500
0.948 0.448 0.500
0.052 0.552 0.500
0.895 0.895 0.000
0.105 0.105 0.000
0.500 0.500 0.000
0.198 0.198 0.000
0.802 0.802 0.000

=====

Record 2
BaMo2As | Alexandria | PBE | relaxed; total magnetization = 0.03 μB/f.u.; calculated formation energy = 0.91 eV/atom; density = 7.97 Mg/m³
1.0
4.919 0.000 0.000
2.459 4.260 0.000
2.459 1.420 4.016
Mo Ba As
2 1 1
direct
0.250 0.250 0.250
0.000 0.000 0.000
0.750 0.750 0.750
0.500 0.500 0.500

=====

Record 3
AgRuRh2 | Alexandria | PBE | relaxed; total magnetization = 2.15 μB/f.u.; ΔE to the lowest computed polymorph = 0.279 eV per atom; calculated formation energy = 0.41 eV/atom; density = 11.44 Mg/m³
1.0
-3.600 -1.286 0.350
0.630 -2.567 -2.950
1.222 -2.709 2.618
Rh Ag Ru
2 1 1
direct
0.000 0.500 0.500
0.000 0.000 0.000
0.500 0.000 0.500
0.500 0.500 0.000

=====

Record 4
Pr6SbSe2S3 | Alexandria | PBE | relaxed; uncorrected formation energy = -1.81 eV/atom; total magnetization = 0.00 μB/f.u.; density = 6.27 Mg/m³
1.0
-1.509 3.928 0.230
-3.113 -1.651 7.779
9.296 1.222 1.531
Sb Pr S Se
1 6 3 2
direct
0.500 0.000 0.000
0.327 0.930 0.653
0.673 0.070 0.347
0.003 0.732 0.006
0.662 0.594 0.323
0.338 0.406 0.677
0.997 0.268 0.994
0.165 0.830 0.330
0.500 0.500 0.000
0.835 0.170 0.670
0.169 0.335 0.337
0.831 0.665 0.663

=====

Record 5
Ca2FeRu | Alexandria | PBE | relaxed; total magnetization = 3.17 μB/f.u.; ΔE to the lowest computed polymorph = 0.351 eV per atom; calculated formation energy = 0.57 eV/atom; density = 4.70 Mg/m³
1.0
-0.555 -1.922 -4.422
4.834 0.097 0.423
-0.061 -3.326 1.453
Ca Ru Fe
2 1 1
direct
0.500 0.500 0.000
0.000 0.000 0.000
0.000 0.500 0.500
0.500 0.000 0.500

=====

Record 6
Ni2BiBr | Alexandria | PBE | relaxed; uncorrected formation energy = 0.49 eV/atom; total magnetization = 0.00 μB/f.u.; ΔE to the lowest computed polymorph = 0.236 eV per atom; density = 9.31 Mg/m³
1.0
2.764 1.428 3.497
-1.759 2.630 3.449
-0.526 -1.807 4.285
Ni Bi Br
2 1 1
direct
0.750 0.750 0.750
0.250 0.250 0.250
0.500 0.500 0.500
0.000 0.000 0.000

=====

Record 7
Sn2RuBr | Alexandria | PBE | relaxed; uncorrected formation energy = 0.24 eV/atom; total magnetization = 0.00 μB/f.u.; ΔE to the lowest computed polymorph = 0.000 eV per atom; density = 5.20 Mg/m³
1.0
-5.240 3.492 1.530
-2.988 -2.147 -5.334
-6.437 -4.253 1.382
Sn Ru Br
4 2 2
direct
0.706 0.125 0.250
0.875 0.956 0.750
0.044 0.625 0.250
0.375 0.294 0.750
0.000 0.000 0.000
0.750 0.250 0.500
0.500 0.500 0.000
0.250 0.750 0.500

=====

Record 8
AlTe2Pt | Alexandria | PBE | relaxed; uncorrected formation energy = 0.12 eV/atom; total magnetization = 0.00 μB/f.u.; density = 7.32 Mg/m³
1.0
4.122 -0.072 0.000
-2.223 3.472 0.000
0.000 0.000 7.656
Al Te Pt
1 2 1
direct
0.500 0.500 0.250
0.000 0.000 0.516
0.000 0.000 0.984
0.500 0.500 0.750

=====

Record 9
SiSb2TeAs | Alexandria | PBE | relaxed; uncorrected formation energy = 0.93 eV/atom; total magnetization = 0.00 μB/f.u.; ΔE to the lowest computed polymorph = 0.189 eV per atom; density = 5.12 Mg/m³
1.0
5.288 0.000 0.000
0.000 5.288 0.000
0.000 0.000 5.504
Te As Sb Si
1 1 2 1
direct
0.000 0.000 0.500
0.000 0.000 0.000
0.000 0.500 0.000
0.500 0.000 0.000
0.500 0.500 0.500

=====

Record 10
Pu2Te3Rh | Alexandria | PBE | relaxed; uncorrected formation energy = -0.73 eV/atom; total magnetization = 0.05 μB/f.u.; density = 9.19 Mg/m³
1.0
4.191 0.000 0.000
0.000 14.889 0.000
0.000 0.000 11.277
Te Rh Pu
12 4 8
direct
0.250 0.109 0.880
0.250 0.843 0.750
0.250 0.108 0.544
0.750 0.343 0.750
0.750 0.608 0.956
0.750 0.157 0.250
0.750 0.609 0.620
0.750 0.892 0.456
0.750 0.891 0.120
0.250 0.391 0.380
0.250 0.657 0.250
0.250 0.392 0.044
0.750 0.622 0.386
0.250 0.378 0.614
0.750 0.878 0.886
0.250 0.122 0.114
0.250 0.739 0.507
0.750 0.494 0.211
0.250 0.994 0.289
0.750 0.239 0.993
0.750 0.261 0.493
0.250 0.506 0.789
0.750 0.006 0.711
0.250 0.761 0.007

=====

Record 11
CeSi3Ru5 | Alexandria | PBE | relaxed; uncorrected formation energy = -0.45 eV/atom; total magnetization = 0.49 μB/f.u.; density = 8.19 Mg/m³
1.0
-0.462 3.941 -0.673
0.135 -3.055 -5.944
-11.456 -1.275 0.395
Ru Si Ce
10 6 2
direct
0.456 0.912 0.356
0.805 0.610 0.065
0.544 0.088 0.644
0.195 0.390 0.565
0.195 0.390 0.935
0.544 0.088 0.856
0.456 0.912 0.144
0.000 0.000 0.500
0.805 0.610 0.435
0.000 0.000 0.000
0.624 0.249 0.455
0.114 0.227 0.750
0.376 0.751 0.955
0.376 0.751 0.545
0.886 0.773 0.250
0.624 0.249 0.045
0.816 0.632 0.750
0.184 0.368 0.250

=====

Record 12
KPmRh4 | Alexandria | PBE | relaxed; total magnetization = 0.01 μB/f.u.; calculated formation energy = -0.12 eV/atom; density = 8.80 Mg/m³
1.0
-1.762 -3.905 3.317
-0.849 -4.999 -1.910
3.313 -4.043 1.425
Rh Pm K
4 1 1
direct
0.625 0.625 0.126
0.625 0.625 0.625
0.625 0.126 0.625
0.126 0.625 0.625
0.250 0.250 0.250
0.000 0.000 0.000

=====

Record 13
ReI | Alexandria | PBE | relaxed; uncorrected formation energy = 1.24 eV/atom; total magnetization = 0.00 μB/f.u.; ΔE to the lowest computed polymorph = 0.707 eV per atom; density = 11.16 Mg/m³
1.0
-2.185 6.626 -8.086
3.231 -2.233 -2.703
-3.877 -3.452 -1.781
I Re
6 6
direct
0.833 0.383 0.844
0.333 0.617 0.344
0.500 0.277 0.778
0.000 0.723 0.278
0.667 0.617 0.344
0.167 0.383 0.844
0.000 0.220 0.480
0.795 0.102 0.278
0.295 0.898 0.778
0.705 0.898 0.778
0.500 0.780 0.980
0.205 0.102 0.278

=====

Record 14
PuSnHgO6 | Alexandria | PBE | relaxed; uncorrected formation energy = -1.56 eV/atom; total magnetization = 2.00 μB/f.u.; density = 8.29 Mg/m³
1.0
-0.831 -5.491 -0.059
4.730 2.071 2.046
-4.113 0.526 8.975
Pu O Sn Hg
2 12 2 2
direct
0.667 0.333 0.250
0.333 0.667 0.750
0.639 0.642 0.638
0.003 0.361 0.638
0.361 0.003 0.138
0.639 0.997 0.862
0.361 0.358 0.362
0.003 0.642 0.862
0.997 0.639 0.362
0.997 0.358 0.138
0.358 0.361 0.862
0.642 0.003 0.362
0.358 0.997 0.638
0.642 0.639 0.138
0.333 0.667 0.250
0.667 0.333 0.750
0.000 0.000 0.500
0.000 0.000 0.000

=====

Record 15
AcHo2 | Alexandria | PBE | relaxed; total magnetization = 0.00 μB/f.u.; ΔE to the lowest computed polymorph = 0.000 eV per atom; calculated formation energy = 0.07 eV/atom; density = 8.74 Mg/m³
1.0
-3.626 0.087 0.816
0.746 -1.194 3.440
2.146 7.800 0.234
Ho Ac
2 1
direct
0.673 0.673 0.347
0.327 0.327 0.653
0.000 0.000 0.000

=====

Record 16
Cr2CuAs | Alexandria | PBE | relaxed; total magnetization = 0.22 μB/f.u.; calculated formation energy = 0.24 eV/atom; density = 7.38 Mg/m³
1.0
4.258 0.000 0.000
2.129 3.687 0.000
2.129 1.229 3.476
Cr As Cu
2 1 1
direct
0.000 0.000 0.000
0.250 0.250 0.250
0.500 0.500 0.500
0.750 0.750 0.750

=====

Record 17
B5C | Alexandria | PBE | relaxed; total magnetization = 0.00 μB/f.u.; ΔE to the lowest computed polymorph = 0.168 eV per atom; calculated formation energy = 0.37 eV/atom; density = 2.38 Mg/m³
1.0
-0.284 -4.007 2.142
2.057 -2.919 2.824
-4.426 7.323 3.507
C B
2 10
direct
0.162 0.162 0.699
0.807 0.807 0.546
0.273 0.273 0.608
0.278 0.278 0.113
0.194 0.194 0.249
0.432 0.432 0.344
0.049 0.049 0.021
0.972 0.972 0.522
0.640 0.640 0.359
0.684 0.684 0.790
0.650 0.650 0.972
0.858 0.858 0.026

=====

Record 18
Pr3Hg2Au3 | Alexandria | PBE | relaxed; total magnetization = 0.00 μB/f.u.; calculated formation energy = -0.60 eV/atom; density = 11.41 Mg/m³
1.0
3.839 0.000 0.000
0.000 5.198 0.000
-1.920 -2.599 10.315
Pr Au Hg
3 3 2
direct
0.366 0.366 0.732
0.634 0.634 0.268
0.500 0.000 0.000
0.882 0.882 0.765
0.118 0.118 0.235
0.000 0.500 0.000
0.264 0.764 0.528
0.736 0.236 0.472

=====

Record 19
Y8SbSe6 | Alexandria | PBE | relaxed; uncorrected formation energy = -1.38 eV/atom; total magnetization = 0.00 μB/f.u.; density = 5.57 Mg/m³
1.0
-3.446 -1.120 1.878
-3.407 -4.433 -8.892
5.583 -5.643 6.878
Se Y Sb
6 8 1
direct
0.248 0.351 0.869
0.752 0.481 0.351
0.248 0.519 0.649
0.752 0.869 0.519
0.248 0.131 0.481
0.752 0.649 0.131
0.748 0.333 0.667
0.256 0.285 0.319
0.744 0.715 0.681
0.744 0.319 0.035
0.256 0.035 0.715
0.252 0.667 0.333
0.744 0.965 0.285
0.256 0.681 0.965
0.500 0.000 0.000

=====

Record 20
ScReW2 | Alexandria | PBE | relaxed; total magnetization = 0.00 μB/f.u.; ΔE to the lowest computed polymorph = 0.196 eV per atom; calculated formation energy = 0.18 eV/atom; density = 14.80 Mg/m³
1.0
-0.989 1.917 1.760
-0.897 -2.524 0.759
7.445 -1.044 5.321
W Re Sc
2 1 1
direct
0.000 0.000 0.485
0.000 0.000 0.015
0.500 0.500 0.250
0.500 0.500 0.750

=====

Record 21
ErLuGaPt | Alexandria | PBE | relaxed; total magnetization = 0.00 μB/f.u.; calculated formation energy = -0.91 eV/atom; density = 11.88 Mg/m³
1.0
4.932 0.000 0.000
2.466 4.271 0.000
2.466 1.424 4.027
Ga Lu Er Pt
1 1 1 1
direct
0.250 0.250 0.250
0.500 0.500 0.500
0.000 0.000 0.000
0.750 0.750 0.750

=====

Record 22
Rb5Pd3O3 | Alexandria | PBE | relaxed; uncorrected formation energy = -0.66 eV/atom; total magnetization = 1.10 μB/f.u.; density = 4.50 Mg/m³
1.0
4.029 0.000 0.000
0.000 7.940 -4.584
0.000 0.000 9.168
Rb Pd O
5 3 3
direct
0.500 0.333 0.667
0.500 0.000 0.741
0.500 0.741 0.000
0.500 0.259 0.259
0.500 0.667 0.333
0.000 0.000 0.360
0.000 0.360 0.000
0.000 0.640 0.640
0.500 0.000 0.366
0.500 0.634 0.634
0.500 0.366 0.000

=====

Record 23
UZn8Cu4 | Alexandria | PBE | relaxed; total magnetization = 2.66 μB/f.u.; calculated formation energy = -0.05 eV/atom; density = 8.68 Mg/m³
1.0
4.582 0.000 1.842
2.291 6.271 0.921
-0.048 0.000 6.740
Zn U Cu
8 1 4
direct
0.281 0.219 0.219
0.500 0.219 0.781
0.500 0.781 0.219
0.719 0.781 0.781
0.000 0.347 0.653
0.347 0.653 0.653
0.000 0.653 0.347
0.653 0.347 0.347
0.000 0.000 0.000
0.500 0.500 0.000
0.000 0.500 0.000
0.000 0.000 0.500
0.500 0.000 0.500